HoNpPb2O8 after structural relaxation. Source: Alexandria, functional PBE-GGA.

Properties
* total DFT energy (no corrections): -7.46 eV/atom
* ρ: 8.5 g/cm3
* DOS at the Fermi energy: 12.26 states/eV/cell
* E_form (uncorrected): -24.86 eV/f.u.

Cell and atoms, written as CIF:
```
data_HoNpPb2O8
_chemical_formula_sum 'Ho2 Np2 Pb4 O16'
_symmetry_space_group_name_H-M 'C m m m'
_symmetry_Int_Tables_number 65
_symmetry_space_group_name_Hall '-C 2 2'
_cell_length_a 7.2903
_cell_length_b 7.3565
_cell_length_c 6.9170
_cell_angle_alpha 90.00
_cell_angle_beta 90.00
_cell_angle_gamma 90.00
loop_
_atom_site_label
_atom_site_fract_x
_atom_site_fract_y
_atom_site_fract_z
Ho1 0.0000 0.0000 0.0000
Np1 0.0000 0.0000 0.5000
Pb1 0.0000 0.5000 0.2482
O1 0.0000 0.1793 0.2728
O2 0.1932 0.5000 0.0000
O3 0.2062 0.5000 0.5000
```

---

YMgTlPb after structural relaxation. Source: Alexandria, functional PBE-GGA.

Properties
* polymorph energy (0 for the lowest one): 0 meV/atom
* total DFT energy (no corrections): -3.85 eV/atom
* energy of formation from the pure elements: -0.3216 eV per atom
* ρ: 8.3 g/cm3
* DOS at the Fermi energy: 1.57 states/eV/cell

Cell and atoms, written as CIF:
```
data_YMgTlPb
_chemical_formula_sum 'Y1 Mg1 Tl1 Pb1'
_symmetry_space_group_name_H-M 'P m m m'
_symmetry_Int_Tables_number 47
_symmetry_space_group_name_Hall '-P 2 2'
_cell_length_a 4.4409
_cell_length_b 4.7624
_cell_length_c 4.9665
_cell_angle_alpha 90.00
_cell_angle_beta 90.00
_cell_angle_gamma 90.00
loop_
_atom_site_label
_atom_site_fract_x
_atom_site_fract_y
_atom_site_fract_z
Y1 0.0000 0.0000 0.0000
Mg1 0.0000 0.5000 0.5000
Tl1 0.5000 0.0000 0.5000
Pb1 0.5000 0.5000 0.0000
```

---

Li3Ge3Ir2 after structural relaxation. Source: Alexandria, functional PBE-GGA.

Properties
* total DFT energy (no corrections): -5.05 eV/atom
* energy of formation from the pure elements: -0.3812 eV per atom
* ρ: 7.3 g/cm3
* DOS at the Fermi energy: 9.01 states/eV/cell

Cell and atoms, written as CIF:
```
data_Li3Ge3Ir2
_chemical_formula_sum 'Li12 Ge12 Ir8'
_symmetry_space_group_name_H-M 'C m c m'
_symmetry_Int_Tables_number 63
_symmetry_space_group_name_Hall '-C 2c 2'
_cell_length_a 4.2193
_cell_length_b 10.3165
_cell_length_c 12.9728
_cell_angle_alpha 90.00
_cell_angle_beta 90.00
_cell_angle_gamma 90.00
loop_
_atom_site_label
_atom_site_fract_x
_atom_site_fract_y
_atom_site_fract_z
Li1 0.0000 0.0779 0.1096
Li2 0.0000 0.3673 0.2500
Ge1 0.0000 0.2996 0.7500
Ge2 0.0000 0.3938 0.0478
Ir1 0.0000 0.2156 0.5805
```

---

Ba2CaAg after structural relaxation. Source: Alexandria, functional PBE-GGA.

Properties
* polymorph energy (0 for the lowest one): 183 meV/atom
* total DFT energy (no corrections): -2.12 eV/atom
* energy of formation from the pure elements: 0.0498 eV per atom
* ρ: 3.7 g/cm3
* DOS at the Fermi energy: 24.15 states/eV/cell

Cell and atoms, written as CIF:
```
data_Ba2CaAg
_chemical_formula_sum 'Ba8 Ca4 Ag4'
_symmetry_space_group_name_H-M 'I -4 2 d'
_symmetry_Int_Tables_number 122
_symmetry_space_group_name_Hall 'I -4 2bw'
_cell_length_a 10.8450
_cell_length_b 10.8450
_cell_length_c 6.5299
_cell_angle_alpha 90.00
_cell_angle_beta 90.00
_cell_angle_gamma 90.00
loop_
_atom_site_label
_atom_site_fract_x
_atom_site_fract_y
_atom_site_fract_z
Ba1 0.1479 0.7500 0.1250
Ca1 0.0000 0.0000 0.5000
Ag1 0.0000 0.0000 0.0000
```

---

VRuNCl2 after structural relaxation. Source: Alexandria, functional PBE-GGA.

Properties
* total DFT energy (no corrections): -4.82 eV/atom
* ρ: 3.9 g/cm3
* DOS at the Fermi energy: 3.18 states/eV/cell
* E_form (uncorrected): 6.32 eV/f.u.

Cell and atoms, written as CIF:
```
data_VRuNCl2
_chemical_formula_sum 'V1 Ru1 N1 Cl2'
_symmetry_space_group_name_H-M 'P 4/m m m'
_symmetry_Int_Tables_number 123
_symmetry_space_group_name_Hall '-P 4 2'
_cell_length_a 4.6034
_cell_length_b 4.6034
_cell_length_c 4.7363
_cell_angle_alpha 90.00
_cell_angle_beta 90.00
_cell_angle_gamma 90.00
loop_
_atom_site_label
_atom_site_fract_x
_atom_site_fract_y
_atom_site_fract_z
V1 0.0000 0.0000 0.0000
Ru1 0.0000 0.0000 0.5000
N1 0.5000 0.5000 0.5000
Cl1 0.0000 0.5000 0.0000
```

---

Ba2Cd12Ag3Pd after structural relaxation. Source: Alexandria, functional PBE-GGA.

Properties
* total DFT energy (no corrections): -1.66 eV/atom
* energy of formation from the pure elements: -0.0691 eV per atom
* ρ: 7.1 g/cm3
* DOS at the Fermi energy: 22.14 states/eV/cell

Cell and atoms, written as CIF:
```
data_Ba2Cd12Ag3Pd
_chemical_formula_sum 'Ba6 Cd36 Ag9 Pd3'
_symmetry_space_group_name_H-M 'R -3 m'
_symmetry_Int_Tables_number 166
_symmetry_space_group_name_Hall '-R 3 2"'
_cell_length_a 7.0589
_cell_length_b 7.0589
_cell_length_c 33.5836
_cell_angle_alpha 90.00
_cell_angle_beta 90.00
_cell_angle_gamma 120.00
loop_
_atom_site_label
_atom_site_fract_x
_atom_site_fract_y
_atom_site_fract_z
Ba1 0.0000 0.0000 0.1441
Cd1 0.0316 0.5158 0.1036
Cd2 0.0569 0.5284 0.6175
Ag1 0.0000 0.5000 0.0000
Pd1 0.0000 0.0000 0.5000
```

---

Na3Hg8Sb2 after structural relaxation. Source: Alexandria, functional PBE-GGA.

Properties
* total DFT energy (no corrections): -1.17 eV/atom
* ρ: 7.5 g/cm3
* DOS at the Fermi energy: 13.74 states/eV/cell
* E_form (uncorrected): -0.59 eV/f.u.

Cell and atoms, written as CIF:
```
data_Na3Hg8Sb2
_chemical_formula_sum 'Na9 Hg24 Sb6'
_symmetry_space_group_name_H-M 'R -3 m'
_symmetry_Int_Tables_number 166
_symmetry_space_group_name_Hall '-R 3 2"'
_cell_length_a 6.0151
_cell_length_b 6.0151
_cell_length_c 40.8476
_cell_angle_alpha 90.00
_cell_angle_beta 90.00
_cell_angle_gamma 120.00
loop_
_atom_site_label
_atom_site_fract_x
_atom_site_fract_y
_atom_site_fract_z
Na1 0.0000 0.0000 0.0000
Na2 0.0000 0.0000 0.2071
Hg1 0.0000 0.0000 0.3228
Hg2 0.0022 0.5011 0.7325
Sb1 0.0000 0.0000 0.4658
```

---

ZrZn2Ir after structural relaxation. Source: Alexandria, functional PBE-GGA.

Properties
* total DFT energy (no corrections): -5.39 eV/atom
* energy of formation from the pure elements: -0.4024 eV per atom
* ρ: 10.5 g/cm3
* DOS at the Fermi energy: 5.72 states/eV/cell

Cell and atoms, written as CIF:
```
data_ZrZn2Ir
_chemical_formula_sum 'Zr2 Zn4 Ir2'
_symmetry_space_group_name_H-M 'I m m 2'
_symmetry_Int_Tables_number 44
_symmetry_space_group_name_Hall 'I 2 -2'
_cell_length_a 4.1442
_cell_length_b 4.2906
_cell_length_c 7.3478
_cell_angle_alpha 90.00
_cell_angle_beta 90.00
_cell_angle_gamma 90.00
loop_
_atom_site_label
_atom_site_fract_x
_atom_site_fract_y
_atom_site_fract_z
Zr1 0.0000 0.0000 0.0000
Zn1 0.0000 0.0000 0.5026
Zn2 0.0000 0.5000 0.2450
Ir1 0.0000 0.5000 0.7513
```

---

Li3PmRh4O12 after structural relaxation. Source: Alexandria, functional PBE-GGA.

Properties
* total DFT energy (no corrections): -6.24 eV/atom
* ρ: 6.0 g/cm3
* DOS at the Fermi energy: 26.27 states/eV/cell
* E_form (uncorrected): -25.49 eV/f.u.

Cell and atoms, written as CIF:
```
data_Li3PmRh4O12
_chemical_formula_sum 'Li6 Pm2 Rh8 O24'
_symmetry_space_group_name_H-M 'I m -3'
_symmetry_Int_Tables_number 204
_symmetry_space_group_name_Hall '-I 2 2 3'
_cell_length_a 7.5212
_cell_length_b 7.5212
_cell_length_c 7.5212
_cell_angle_alpha 90.00
_cell_angle_beta 90.00
_cell_angle_gamma 90.00
loop_
_atom_site_label
_atom_site_fract_x
_atom_site_fract_y
_atom_site_fract_z
Li1 0.0000 0.0000 0.5000
Pm1 0.0000 0.0000 0.0000
Rh1 0.2500 0.2500 0.2500
O1 0.0000 0.2990 0.1744
```

---

Cs4Tl2InBi2 after structural relaxation. Source: Alexandria, functional PBE-GGA.

Properties
* total DFT energy (no corrections): -2.22 eV/atom
* energy of formation from the pure elements: -0.1489 eV per atom
* ρ: 4.9 g/cm3
* DOS at the Fermi energy: 11.67 states/eV/cell

Cell and atoms, written as CIF:
```
data_Cs4Tl2InBi2
_chemical_formula_sum 'Cs8 Tl4 In2 Bi4'
_symmetry_space_group_name_H-M 'C 1 2/m 1'
_symmetry_Int_Tables_number 12
_symmetry_space_group_name_Hall '-C 2y'
_cell_length_a 11.2890
_cell_length_b 11.4522
_cell_length_c 9.5243
_cell_angle_alpha 90.00
_cell_angle_beta 125.86
_cell_angle_gamma 90.00
loop_
_atom_site_label
_atom_site_fract_x
_atom_site_fract_y
_atom_site_fract_z
Cs1 0.2352 0.2095 0.2506
Tl1 0.0499 0.5000 0.8820
In1 0.0000 0.0000 0.5000
Bi1 0.0993 0.0000 0.8476
```

---

Ca2Zn9Pd6 after structural relaxation. Source: Alexandria, functional PBE-GGA.

Properties
* total DFT energy (no corrections): -3.19 eV/atom
* energy of formation from the pure elements: -0.4483 eV per atom
* ρ: 6.8 g/cm3
* DOS at the Fermi energy: 4.99 states/eV/cell

Cell and atoms, written as CIF:
```
data_Ca2Zn9Pd6
_chemical_formula_sum 'Ca2 Zn9 Pd6'
_symmetry_space_group_name_H-M 'P 6/m m m'
_symmetry_Int_Tables_number 191
_symmetry_space_group_name_Hall '-P 6 2'
_cell_length_a 5.4334
_cell_length_b 5.4334
_cell_length_c 12.4541
_cell_angle_alpha 90.00
_cell_angle_beta 90.00
_cell_angle_gamma 120.00
loop_
_atom_site_label
_atom_site_fract_x
_atom_site_fract_y
_atom_site_fract_z
Ca1 0.0000 0.0000 0.1693
Zn1 0.0000 0.5000 0.0000
Zn2 0.0000 0.5000 0.3375
Pd1 0.3333 0.6667 0.1696
Pd2 0.3333 0.6667 0.5000
```